Record 1
A geometry-optimized TlVNF2 structure. Source: the Alexandria database, functional PBE+U.

Symmetry: No. 123
Spin magnetization (μB per formula unit): 1.01
Final energy (eV per atom): -5.637
Energy above the most stable polymorph in this dataset (eV per atom): 0.000

Lattice parameters (Å, degrees): 4.2738 4.2738 3.8767 90.00 90.00 90.00
Last column: nearest neighbours and their distance in Å.
Element x y z (fractional)
Tl (0.0000, 0.0000, 0.0000)  8 F 2.89, 4 N 3.02
V (0.5000, 0.5000, 0.5000)  2 N 1.94, 4 F 2.14
N (0.5000, 0.5000, 0.0000)  2 V 1.94
F (0.0000, 0.5000, 0.5000)  2 V 2.14
F (0.5000, 0.0000, 0.5000)  2 V 2.14


Record 2
A geometry-optimized TlVN2F structure. Source: the Alexandria database, functional PBE+U.

Symmetry: No. 123
Spin magnetization (μB per formula unit): 1.50
Final energy (eV per atom): -4.458
Energy above the most stable polymorph in this dataset (eV per atom): 1.295

Lattice parameters (Å, degrees): 4.2940 4.2940 4.4337 90.00 90.00 90.00
Last column: nearest neighbours and their distance in Å.
Element x y z (fractional)
Tl (0.0000, 0.0000, 0.0000)  4 N 2.15, 2 F 2.22
V (0.5000, 0.5000, 0.5000)  4 F 3.04, 8 N 3.09
N (0.0000, 0.5000, 0.0000)  2 Tl 2.15
N (0.5000, 0.0000, 0.0000)  2 Tl 2.15
F (0.0000, 0.0000, 0.5000)  2 Tl 2.22


Record 3
A geometry-optimized TlVNF2 structure. Source: the Alexandria database, functional PBE+U.

Symmetry: No. 123
Spin magnetization (μB per formula unit): 2.95
Final energy (eV per atom): -4.468
Energy above the most stable polymorph in this dataset (eV per atom): 1.168

Lattice parameters (Å, degrees): 4.4672 4.4672 4.2576 90.00 90.00 90.00
Last column: nearest neighbours and their distance in Å.
Element x y z (fractional)
Tl (0.0000, 0.0000, 0.0000)  2 N 2.13, 4 F 2.23
V (0.5000, 0.5000, 0.5000)  8 F 3.09, 4 N 3.16
N (0.0000, 0.0000, 0.5000)  2 Tl 2.13
F (0.0000, 0.5000, 0.0000)  2 Tl 2.23
F (0.5000, 0.0000, 0.0000)  2 Tl 2.23


energy above the most stable polymorph in this dataset of number 2 (TlVN2F)? 1.295 eV per atom